DFT (GGA-PBE) results for a relaxed Cu4Ni2Mo crystal.

Unit cell a=4.5223 b=4.5223 c=6.7895 alpha=70.55 beta=70.55 gamma=90.00
Fractional positions:
Mo: 0.0000 0.0000 0.0000
Cu: 0.0000 0.5000 0.0000
Cu: 0.7953 0.7953 0.4094
Ni: 0.4019 0.4019 0.1962
Cu: 0.2047 0.2047 0.5906
Ni: 0.5981 0.5981 0.8038
Cu: 0.5000 0.0000 0.0000

Calculated values
Calculated total energy, eV per atom: -4.24